No. 1
A geometry-optimized Li2CaBr structure. Source: Alexandria via LeMat-Bulk, functional PBE-GGA.

The structure in POSCAR format:
```
Li2CaBr
1.0
-0.844 -3.233 1.625
3.634 0.678 -0.372
0.073 4.045 8.085
Br Ca Li
1 1 2
direct
0.000 0.000 0.475 Br
0.500 0.500 0.729 Ca
0.000 0.000 0.017 Li
0.500 0.500 0.279 Li
```

---

No. 2
A geometry-optimized Li2CaBr structure. Source: Alexandria via LeMat-Bulk, functional PBE-GGA.

The structure in POSCAR format:
```
Li2CaBr
1.0
-1.385 5.965 0.837
-3.629 -4.666 1.807
1.745 -0.064 3.340
Br Ca Li
1 1 2
direct
0.500 0.000 0.500 Br
0.000 0.500 0.500 Ca
0.000 0.000 0.000 Li
0.500 0.500 0.000 Li
```

---

No. 3
A geometry-optimized Li4CaBr6 structure. Source: Alexandria via LeMat-Bulk, functional PBE-GGA.

The structure in POSCAR format:
```
Li4CaBr6
1.0
-0.274 -7.905 -2.361
6.116 -3.816 -2.361
6.555 -8.024 11.679
Li Ca Br
8 2 12
direct
0.194 0.163 0.568 Li
0.075 0.663 0.068 Li
0.701 0.213 0.475 Li
0.611 0.713 0.975 Li
0.848 0.727 0.655 Li
0.770 0.227 0.155 Li
0.628 0.288 0.939 Li
0.144 0.788 0.439 Li
0.750 0.798 0.369 Ca
0.083 0.298 0.869 Ca
0.449 0.488 0.070 Br
0.993 0.988 0.570 Br
0.504 0.620 0.418 Br
0.458 0.120 0.918 Br
0.580 0.933 0.541 Br
0.946 0.433 0.041 Br
0.984 0.976 0.921 Br
0.120 0.476 0.421 Br
0.877 0.115 0.321 Br
0.687 0.615 0.821 Br
0.165 0.364 0.677 Br
0.794 0.864 0.177 Br
```

---

No. 4
A geometry-optimized LiCaBr2 structure. Source: Alexandria via LeMat-Bulk, functional PBE-GGA.

The structure in POSCAR format:
```
LiCaBr2
1.0
7.761 0.268 -0.193
5.649 5.328 0.193
-6.687 -2.842 2.748
Br Ca Li
2 1 1
direct
0.966 0.966 0.000 Br
0.724 0.224 0.500 Br
0.561 0.561 0.000 Ca
0.249 0.749 0.500 Li
```

---

No. 5
A geometry-optimized LiCaBr2 structure. Source: Alexandria via LeMat-Bulk, functional PBE-GGA.

The structure in POSCAR format:
```
LiCaBr2
1.0
-3.482 -1.957 1.306
3.559 -2.209 -0.339
1.977 1.931 8.162
Br Ca Li
2 1 1
direct
0.000 0.000 0.819 Br
0.500 0.500 0.244 Br
0.000 0.000 0.482 Ca
0.500 0.500 0.955 Li
```

---

No. 6
A geometry-optimized Li2CaBr2 structure. Source: Alexandria via LeMat-Bulk, functional PBE-GGA.

The structure in POSCAR format:
```
Li2CaBr2
1.0
-5.957 0.877 6.724
6.401 -2.226 5.961
0.898 3.491 0.340
Ca Br Li
2 4 4
direct
0.000 0.000 0.000 Ca
0.500 0.500 0.000 Ca
0.134 0.634 0.500 Br
0.634 0.866 0.500 Br
0.866 0.366 0.500 Br
0.366 0.134 0.500 Br
0.398 0.898 0.000 Li
0.898 0.602 0.000 Li
0.602 0.102 0.000 Li
0.102 0.398 0.000 Li
```

---

No. 7
A geometry-optimized Li2CaBr structure. Source: Alexandria via LeMat-Bulk, functional PBE-GGA.

The structure in POSCAR format:
```
Li2CaBr
1.0
-2.977 1.399 -2.000
-2.315 -2.618 1.614
-1.585 5.019 5.869
Br Ca Li
1 1 2
direct
0.000 0.000 0.569 Br
0.500 0.500 0.751 Ca
0.000 0.000 0.020 Li
0.500 0.500 0.160 Li
```

---

No. 8
A geometry-optimized LiCaBr2 structure. Source: Alexandria via LeMat-Bulk, functional PBE-GGA.

The structure in POSCAR format:
```
LiCaBr2
1.0
-6.122 -5.827 -1.791
-3.141 -6.502 -4.744
-2.697 -8.163 -0.858
Br Ca Li
2 1 1
direct
0.049 0.049 0.049 Br
0.229 0.229 0.229 Br
0.498 0.498 0.498 Ca
0.724 0.724 0.724 Li
```

---

No. 9
A geometry-optimized LiCaBr2 structure. Source: Alexandria via LeMat-Bulk, functional PBE-GGA.

The structure in POSCAR format:
```
LiCaBr2
1.0
-9.923 1.436 0.789
-9.354 -1.970 3.124
-8.678 1.808 4.750
Ca Br Li
1 2 1
direct
0.500 0.500 0.500 Ca
0.889 0.889 0.889 Br
0.111 0.111 0.111 Br
0.000 0.000 0.000 Li
```

---

No. 10
A geometry-optimized LiCa2Br5 structure. Source: Alexandria via LeMat-Bulk, functional PBE-GGA.

The structure in POSCAR format:
```
LiCa2Br5
1.0
-1.892 5.059 -1.928
-5.529 -4.335 2.582
1.655 5.467 12.722
Li Ca Br
2 4 10
direct
0.190 0.380 0.250 Li
0.810 0.620 0.750 Li
0.144 0.289 0.936 Ca
0.144 0.289 0.564 Ca
0.856 0.711 0.436 Ca
0.856 0.711 0.064 Ca
0.318 0.637 0.434 Br
0.318 0.637 0.066 Br
0.053 0.106 0.379 Br
0.053 0.106 0.121 Br
0.246 0.492 0.750 Br
0.754 0.508 0.250 Br
0.947 0.894 0.879 Br
0.947 0.894 0.621 Br
0.682 0.363 0.566 Br
0.682 0.363 0.934 Br
```

---

No. 11
A geometry-optimized Li5Ca3Br12 structure. Source: Alexandria via LeMat-Bulk, functional PBE-GGA.

The structure in POSCAR format:
```
Li5Ca3Br12
1.0
-4.508 -10.300 -8.648
10.525 -4.925 8.134
-10.724 4.294 8.231
Ca Li Br
12 20 48
direct
0.750 0.375 0.125 Ca
0.875 0.750 0.125 Ca
0.375 0.750 0.625 Ca
0.250 0.125 0.375 Ca
0.875 0.125 0.250 Ca
0.375 0.625 0.250 Ca
0.625 0.375 0.750 Ca
0.125 0.875 0.750 Ca
0.750 0.875 0.625 Ca
0.625 0.250 0.375 Ca
0.125 0.250 0.875 Ca
0.250 0.625 0.875 Ca
0.125 0.375 0.250 Li
0.000 0.500 0.000 Li
0.000 0.000 0.000 Li
0.375 0.250 0.125 Li
0.500 0.000 0.500 Li
0.500 0.500 0.000 Li
0.125 0.750 0.375 Li
0.750 0.125 0.875 Li
0.750 0.625 0.375 Li
0.375 0.125 0.750 Li
0.625 0.875 0.250 Li
0.500 0.500 0.500 Li
0.500 0.000 0.000 Li
0.000 0.000 0.500 Li
0.250 0.375 0.625 Li
0.250 0.875 0.125 Li
0.000 0.500 0.500 Li
0.875 0.250 0.625 Li
0.625 0.750 0.875 Li
0.875 0.625 0.750 Li
0.716 0.126 0.036 Br
0.320 0.536 0.410 Br
0.964 0.374 0.284 Br
0.536 0.216 0.126 Br
0.590 0.716 0.680 Br
0.964 0.590 0.180 Br
0.320 0.784 0.410 Br
0.090 0.910 0.126 Br
0.590 0.964 0.680 Br
0.716 0.590 0.180 Br
0.784 0.464 0.374 Br
0.820 0.910 0.036 Br
0.126 0.716 0.536 Br
0.374 0.410 0.090 Br
0.090 0.910 0.374 Br
0.410 0.126 0.590 Br
0.090 0.180 0.216 Br
0.464 0.680 0.090 Br
0.820 0.910 0.284 Br
0.126 0.410 0.090 Br
0.374 0.964 0.784 Br
0.590 0.626 0.410 Br
0.910 0.820 0.536 Br
0.784 0.320 0.910 Br
0.410 0.374 0.590 Br
0.090 0.180 0.464 Br
0.216 0.680 0.090 Br
0.180 0.090 0.716 Br
0.626 0.036 0.216 Br
0.874 0.590 0.910 Br
0.536 0.320 0.910 Br
0.590 0.874 0.410 Br
0.910 0.820 0.784 Br
0.910 0.090 0.626 Br
0.874 0.284 0.464 Br
0.180 0.090 0.964 Br
0.626 0.590 0.910 Br
0.410 0.036 0.320 Br
0.284 0.410 0.820 Br
0.216 0.536 0.626 Br
0.910 0.090 0.874 Br
0.680 0.216 0.590 Br
0.464 0.784 0.874 Br
0.036 0.410 0.820 Br
0.410 0.284 0.320 Br
0.036 0.626 0.716 Br
0.680 0.464 0.590 Br
0.284 0.874 0.964 Br
```

---

No. 12
A geometry-optimized Li3CaBr structure. Source: Alexandria via LeMat-Bulk, functional PBE-GGA.

The structure in POSCAR format:
```
Li3CaBr
1.0
-1.762 -0.469 -4.870
-2.827 -4.128 1.420
-3.994 3.128 1.144
Ca Br Li
1 1 3
direct
0.500 0.500 0.500 Ca
0.000 0.000 0.000 Br
0.000 0.500 0.000 Li
0.000 0.000 0.500 Li
0.500 0.000 0.000 Li
```

---

No. 13
A geometry-optimized LiCaBr2 structure. Source: Alexandria via LeMat-Bulk, functional PBE-GGA.

The structure in POSCAR format:
```
LiCaBr2
1.0
-1.272 -4.960 5.414
-1.908 -6.846 2.243
4.242 -2.466 0.616
Br Ca Li
2 1 1
direct
0.020 0.020 0.921 Br
0.807 0.807 0.600 Br
0.481 0.481 0.434 Ca
0.192 0.192 0.545 Li
```

---

No. 14
A geometry-optimized LiCaBr2 structure. Source: Alexandria via LeMat-Bulk, functional PBE-GGA.

The structure in POSCAR format:
```
LiCaBr2
1.0
5.718 -0.007 -0.004
0.343 5.707 0.004
-1.633 -4.336 3.350
Br Ca Li
2 1 1
direct
0.028 0.028 0.000 Br
0.472 0.472 0.000 Br
0.750 0.250 0.500 Ca
0.250 0.750 0.500 Li
```

---

No. 15
A geometry-optimized LiCaBr2 structure. Source: Alexandria via LeMat-Bulk, functional PBE-GGA.

The structure in POSCAR format:
```
LiCaBr2
1.0
-1.875 1.135 3.620
-0.187 -3.799 -1.855
6.773 -2.415 4.266
Br Ca Li
2 1 1
direct
0.000 0.000 0.967 Br
0.000 0.000 0.533 Br
0.500 0.500 0.250 Ca
0.500 0.500 0.750 Li
```

---

No. 16
A geometry-optimized Li3CaBr structure. Source: Alexandria via LeMat-Bulk, functional PBE-GGA.

The structure in POSCAR format:
```
Li3CaBr
1.0
-0.654 -6.030 -0.986
3.701 -1.180 4.762
-4.862 -0.087 3.757
Ca Br Li
1 1 3
direct
0.000 0.000 0.000 Ca
0.500 0.500 0.500 Br
0.000 0.500 0.000 Li
0.000 0.000 0.500 Li
0.500 0.000 0.000 Li
```

---

No. 17
A geometry-optimized LiCaBr2 structure. Source: Alexandria via LeMat-Bulk, functional PBE-GGA.

The structure in POSCAR format:
```
LiCaBr2
1.0
-6.802 -1.989 0.405
-0.457 -7.009 1.029
-1.893 -1.973 3.370
Br Ca Li
2 1 1
direct
0.000 0.000 0.000 Br
0.500 0.500 0.000 Br
0.500 0.000 0.500 Ca
0.000 0.500 0.500 Li
```

---

No. 18
A geometry-optimized LiCaBr2 structure. Source: Alexandria via LeMat-Bulk, functional PBE-GGA.

The structure in POSCAR format:
```
LiCaBr2
1.0
0.000 3.687 3.687
3.687 0.000 3.687
3.687 3.687 0.000
Ca Br Li
1 2 1
direct
0.500 0.500 0.500 Ca
0.250 0.250 0.250 Br
0.750 0.750 0.750 Br
0.000 0.000 0.000 Li
```

---

No. 19
A geometry-optimized LiCaBr2 structure. Source: Alexandria via LeMat-Bulk, functional PBE-GGA.

The structure in POSCAR format:
```
LiCaBr2
1.0
2.384 0.000 8.479
-1.192 2.065 8.479
-1.192 -2.065 8.479
Ca Br Li
1 2 1
direct
0.000 0.000 0.000 Ca
0.891 0.891 0.891 Br
0.109 0.109 0.109 Br
0.500 0.500 0.500 Li
```

---

No. 20
A geometry-optimized Li2CaBr structure. Source: Alexandria via LeMat-Bulk, functional PBE-GGA.

The structure in POSCAR format:
```
Li2CaBr
1.0
-2.796 -4.130 -5.029
3.021 -4.956 -4.059
-0.747 2.478 6.593
Br Ca Li
1 1 2
direct
0.250 0.750 0.500 Br
0.750 0.250 0.500 Ca
0.000 0.000 0.000 Li
0.500 0.500 0.000 Li
```

---

No. 21
A geometry-optimized LiCaBr2 structure. Source: Alexandria via LeMat-Bulk, functional PBE-GGA.

The structure in POSCAR format:
```
LiCaBr2
1.0
4.057 0.000 0.000
0.000 6.534 0.000
0.000 0.000 4.076
Br Ca Li
2 1 1
direct
0.000 0.000 0.000 Br
0.500 0.500 0.000 Br
0.500 0.000 0.500 Ca
0.000 0.500 0.500 Li
```

---

No. 22
A geometry-optimized LiCa3Br structure. Source: Alexandria via LeMat-Bulk, functional PBE-GGA.

The structure in POSCAR format:
```
LiCa3Br
1.0
-0.397 5.732 -0.394
-5.378 -0.231 2.048
2.023 0.509 5.368
Ca Br Li
3 1 1
direct
0.000 0.500 0.000 Ca
0.000 0.000 0.500 Ca
0.500 0.000 0.000 Ca
0.000 0.000 0.000 Br
0.500 0.500 0.500 Li
```

---

No. 23
A geometry-optimized Li2CaMgBr6 structure. Source: Alexandria via LeMat-Bulk, functional PBE-GGA.

The structure in POSCAR format:
```
Li2CaMgBr6
1.0
-2.900 -3.064 -3.839
6.670 -2.701 -2.882
-0.270 -5.955 4.956
Li Ca Mg Br
2 1 1 6
direct
0.819 0.500 0.000 Li
0.819 0.000 0.500 Li
0.694 0.500 0.500 Ca
0.662 0.000 0.000 Mg
0.754 0.240 0.240 Br
0.754 0.240 0.760 Br
0.207 0.500 0.500 Br
0.228 0.000 0.000 Br
0.754 0.760 0.760 Br
0.754 0.760 0.240 Br
```

---

| no. | electronic total energy (eV/atom) |
| --- | --- |
| 1 | -2.44 |
| 2 | -2.31 |
| 3 | -3.40 |
| 4 | -3.11 |
| 5 | -3.13 |
| 6 | -2.54 |
| 7 | -2.45 |
| 8 | -3.14 |
| 9 | -3.14 |
| 10 | -3.65 |
| 11 | -3.37 |
| 12 | -2.22 |
| 13 | -3.09 |
| 14 | -3.04 |
| 15 | -3.11 |
| 16 | -1.38 |
| 17 | -3.04 |
| 18 | -2.95 |
| 19 | -3.12 |
| 20 | -2.36 |
| 21 | -3.00 |
| 22 | -2.17 |
| 23 | -3.26 |